Record 1
Here is a geometry-optimized Ti4VPd7 structure from Alexandria. Energies are from PBE-GGA.

The structure in CIF format:
```
data_Ti4VPd7
_chemical_formula_sum 'Ti8 V2 Pd14'
_symmetry_space_group_name_H-M 'C 1 2/m 1'
_symmetry_Int_Tables_number 12
_cell_length_a 10.5112
_cell_length_b 4.6798
_cell_length_c 9.3888
_cell_angle_alpha 90.00
_cell_angle_beta 119.42
_cell_angle_gamma 90.00
loop_
_symmetry_equiv_pos_as_xyz
'x,y,z'
'-x,-y,-z'
'-x,y,-z'
'x,-y,z'
'x+1/2,y+1/2,z'
'-x+1/2,-y+1/2,-z'
'-x+1/2,y+1/2,-z'
'x+1/2,-y+1/2,z'
loop_
_atom_site_label
_atom_site_type_symbol
_atom_site_fract_x
_atom_site_fract_y
_atom_site_fract_z
Ti1 Ti 0.0888 0.0000 0.2749
Ti2 Ti 0.2430 0.0000 0.8302
V1 V 0.0000 0.5000 0.5000
Pd1 Pd 0.0000 0.0000 0.5000
Pd2 Pd 0.0675 0.5000 0.8362
Pd3 Pd 0.1394 0.0000 0.0376
Pd4 Pd 0.2133 0.5000 0.4101
```

Results
- Crystal system: monoclinic

***

Record 2
Here is a geometry-optimized TiVPd structure from Alexandria. Energies are from PBE-GGA.

The structure in CIF format:
```
data_TiVPd
_chemical_formula_sum 'Ti2 V2 Pd2'
_symmetry_space_group_name_H-M 'P -3 m 1'
_symmetry_Int_Tables_number 164
_symmetry_space_group_name_Hall '-P 3 2"'
_cell_length_a 4.3268
_cell_length_b 4.3268
_cell_length_c 5.5157
_cell_angle_alpha 90.00
_cell_angle_beta 90.00
_cell_angle_gamma 120.00
loop_
_atom_site_label
_atom_site_type_symbol
_atom_site_fract_x
_atom_site_fract_y
_atom_site_fract_z
Ti1 Ti 0.0000 0.0000 0.2475
V1 V 0.3333 0.6667 0.0818
Pd1 Pd 0.3333 0.6667 0.6046
```

Results
- Relative energy among the computed polymorphs: 0.0927 eV per atom
- Crystal system: trigonal

***

Record 3
Here is a geometry-optimized TiVPd5 structure from Alexandria. Energies are from PBE-GGA.

The structure in CIF format:
```
data_TiVPd5
_chemical_formula_sum 'Ti4 V4 Pd20'
_symmetry_space_group_name_H-M 'C 1 2/c 1'
_symmetry_Int_Tables_number 15
_cell_length_a 9.0863
_cell_length_b 5.5753
_cell_length_c 9.5313
_cell_angle_alpha 90.00
_cell_angle_beta 110.09
_cell_angle_gamma 90.00
loop_
_symmetry_equiv_pos_as_xyz
'x,y,z'
'-x,-y,-z'
'-x,y,-z+1/2'
'x,-y,z+1/2'
'x+1/2,y+1/2,z'
'-x+1/2,-y+1/2,-z'
'-x+1/2,y+1/2,-z+1/2'
'x+1/2,-y+1/2,z+1/2'
loop_
_atom_site_label
_atom_site_type_symbol
_atom_site_fract_x
_atom_site_fract_y
_atom_site_fract_z
Ti1 Ti 0.0000 0.0881 0.2500
V1 V 0.2500 0.2500 0.0000
Pd1 Pd 0.0000 0.3521 0.7500
Pd2 Pd 0.0828 0.2997 0.4862
Pd3 Pd 0.2383 0.3877 0.2522
```

Results
- Relative energy among the computed polymorphs: 0.1186 eV per atom
- Crystal system: monoclinic

***

Record 4
Here is a geometry-optimized TiV3Pd structure from Alexandria. Energies are from PBE-GGA.

The structure in CIF format:
```
data_TiV3Pd
_chemical_formula_sum 'Ti1 V3 Pd1'
_symmetry_space_group_name_H-M 'P m -3 m'
_symmetry_Int_Tables_number 221
_symmetry_space_group_name_Hall '-P 4 2 3'
_cell_length_a 4.3822
_cell_length_b 4.3822
_cell_length_c 4.3822
_cell_angle_alpha 90.00
_cell_angle_beta 90.00
_cell_angle_gamma 90.00
loop_
_atom_site_label
_atom_site_type_symbol
_atom_site_fract_x
_atom_site_fract_y
_atom_site_fract_z
Ti1 Ti 0.0000 0.0000 0.0000
V1 V 0.0000 0.0000 0.5000
Pd1 Pd 0.5000 0.5000 0.5000
```

Results
- Relative energy among the computed polymorphs: 0.0000 eV per atom
- Crystal system: cubic

***

Record 5
Here is a geometry-optimized Ti7VPd2 structure from Alexandria. Energies are from PBE-GGA.

The structure in CIF format:
```
data_Ti7VPd2
_chemical_formula_sum 'Ti28 V4 Pd8'
_symmetry_space_group_name_H-M 'F m -3 m'
_symmetry_Int_Tables_number 225
_symmetry_space_group_name_Hall '-F 4 2 3'
_cell_length_a 9.0096
_cell_length_b 9.0096
_cell_length_c 9.0096
_cell_angle_alpha 90.00
_cell_angle_beta 90.00
_cell_angle_gamma 90.00
loop_
_atom_site_label
_atom_site_type_symbol
_atom_site_fract_x
_atom_site_fract_y
_atom_site_fract_z
Ti1 Ti 0.0000 0.0000 0.0000
Ti2 Ti 0.0000 0.0000 0.2525
V1 V 0.0000 0.0000 0.5000
Pd1 Pd 0.2500 0.2500 0.2500
```

Results
- Crystal system: cubic

***

Record 6
Here is a geometry-optimized TiVPd14 structure from Alexandria. Energies are from PBE-GGA.

The structure in CIF format:
```
data_TiVPd14
_chemical_formula_sum 'Ti1 V1 Pd14'
_symmetry_space_group_name_H-M 'P 4/m m m'
_symmetry_Int_Tables_number 123
_symmetry_space_group_name_Hall '-P 4 2'
_cell_length_a 5.5728
_cell_length_b 5.5728
_cell_length_c 7.8015
_cell_angle_alpha 90.00
_cell_angle_beta 90.00
_cell_angle_gamma 90.00
loop_
_atom_site_label
_atom_site_type_symbol
_atom_site_fract_x
_atom_site_fract_y
_atom_site_fract_z
Ti1 Ti 0.0000 0.0000 0.0000
V1 V 0.5000 0.5000 0.0000
Pd1 Pd 0.0000 0.0000 0.5000
Pd2 Pd 0.0000 0.5000 0.0000
Pd3 Pd 0.0000 0.5000 0.5000
Pd4 Pd 0.2509 0.2509 0.2406
Pd5 Pd 0.5000 0.5000 0.5000
```

Results
- Crystal system: tetragonal

***

Record 7
Here is a geometry-optimized Ti2V2Pd7 structure from Alexandria. Energies are from PBE-GGA.

The structure in CIF format:
```
data_Ti2V2Pd7
_chemical_formula_sum 'Ti4 V4 Pd14'
_symmetry_space_group_name_H-M 'C 1 2/m 1'
_symmetry_Int_Tables_number 12
_cell_length_a 9.5229
_cell_length_b 7.8647
_cell_length_c 4.7709
_cell_angle_alpha 90.00
_cell_angle_beta 97.36
_cell_angle_gamma 90.00
loop_
_symmetry_equiv_pos_as_xyz
'x,y,z'
'-x,-y,-z'
'-x,y,-z'
'x,-y,z'
'x+1/2,y+1/2,z'
'-x+1/2,-y+1/2,-z'
'-x+1/2,y+1/2,-z'
'x+1/2,-y+1/2,z'
loop_
_atom_site_label
_atom_site_type_symbol
_atom_site_fract_x
_atom_site_fract_y
_atom_site_fract_z
Ti1 Ti 0.0000 0.1991 0.0000
V1 V 0.2348 0.5000 0.7452
Pd1 Pd 0.0000 0.0000 0.5000
Pd2 Pd 0.0420 0.5000 0.2644
Pd3 Pd 0.2199 0.1801 0.7426
```

Results
- Crystal system: monoclinic

***

Record 8
Here is a geometry-optimized TiVPd structure from Alexandria. Energies are from PBE-GGA.

The structure in CIF format:
```
data_TiVPd
_chemical_formula_sum 'Ti2 V2 Pd2'
_symmetry_space_group_name_H-M 'P 4/n m m'
_symmetry_Int_Tables_number 129
_cell_length_a 3.1762
_cell_length_b 3.1762
_cell_length_c 9.0034
_cell_angle_alpha 90.00
_cell_angle_beta 90.00
_cell_angle_gamma 90.00
loop_
_symmetry_equiv_pos_as_xyz
'x,y,z'
'-x,-y,-z'
'-y+1/2,x,z'
'y+1/2,-x,-z'
'-x+1/2,-y+1/2,z'
'x+1/2,y+1/2,-z'
'y,-x+1/2,z'
'-y,x+1/2,-z'
'x+1/2,-y,-z'
'-x+1/2,y,z'
'-y,-x,-z'
'y,x,z'
'-x,y+1/2,-z'
'x,-y+1/2,z'
'y+1/2,x+1/2,-z'
'-y+1/2,-x+1/2,z'
loop_
_atom_site_label
_atom_site_type_symbol
_atom_site_fract_x
_atom_site_fract_y
_atom_site_fract_z
Ti1 Ti 0.2500 0.2500 0.2495
V1 V 0.2500 0.2500 0.5670
Pd1 Pd 0.2500 0.2500 0.8995
```

Results
- Relative energy among the computed polymorphs: 0.0000 eV per atom
- Crystal system: tetragonal

***

Record 9
Here is a geometry-optimized TiV3Pd structure from Alexandria. Energies are from PBE-GGA.

The structure in CIF format:
```
data_TiV3Pd
_chemical_formula_sum 'Ti1 V3 Pd1'
_symmetry_space_group_name_H-M 'P m -3 m'
_symmetry_Int_Tables_number 221
_symmetry_space_group_name_Hall '-P 4 2 3'
_cell_length_a 4.5924
_cell_length_b 4.5924
_cell_length_c 4.5924
_cell_angle_alpha 90.00
_cell_angle_beta 90.00
_cell_angle_gamma 90.00
loop_
_atom_site_label
_atom_site_type_symbol
_atom_site_fract_x
_atom_site_fract_y
_atom_site_fract_z
Ti1 Ti 0.0000 0.0000 0.0000
V1 V 0.0000 0.5000 0.5000
Pd1 Pd 0.5000 0.5000 0.5000
```

Results
- Relative energy among the computed polymorphs: 0.1164 eV per atom
- Crystal system: cubic

***

Record 10
Here is a geometry-optimized TiV2Pd7 structure from Alexandria. Energies are from PBE-GGA.

The structure in CIF format:
```
data_TiV2Pd7
_chemical_formula_sum 'Ti2 V4 Pd14'
_symmetry_space_group_name_H-M 'C m m m'
_symmetry_Int_Tables_number 65
_symmetry_space_group_name_Hall '-C 2 2'
_cell_length_a 7.1930
_cell_length_b 12.8153
_cell_length_c 4.0045
_cell_angle_alpha 90.00
_cell_angle_beta 90.00
_cell_angle_gamma 90.00
loop_
_atom_site_label
_atom_site_type_symbol
_atom_site_fract_x
_atom_site_fract_y
_atom_site_fract_z
Ti1 Ti 0.0000 0.0000 0.0000
V1 V 0.0000 0.3096 0.5000
Pd1 Pd 0.0000 0.2118 0.0000
Pd2 Pd 0.0000 0.5000 0.5000
Pd3 Pd 0.1873 0.1095 0.5000
```

Results
- Crystal system: orthorhombic

***

Record 11
Here is a geometry-optimized Ti4VPd3 structure from Alexandria. Energies are from PBE-GGA.

The structure in CIF format:
```
data_Ti4VPd3
_chemical_formula_sum 'Ti4 V1 Pd3'
_symmetry_space_group_name_H-M 'P 4/m m m'
_symmetry_Int_Tables_number 123
_symmetry_space_group_name_Hall '-P 4 2'
_cell_length_a 2.9308
_cell_length_b 2.9308
_cell_length_c 14.5345
_cell_angle_alpha 90.00
_cell_angle_beta 90.00
_cell_angle_gamma 90.00
loop_
_atom_site_label
_atom_site_type_symbol
_atom_site_fract_x
_atom_site_fract_y
_atom_site_fract_z
Ti1 Ti 0.0000 0.0000 0.1155
Ti2 Ti 0.0000 0.0000 0.3712
V1 V 0.5000 0.5000 0.0000
Pd1 Pd 0.5000 0.5000 0.2415
Pd2 Pd 0.5000 0.5000 0.5000
```

Results
- Crystal system: tetragonal

***

Record 12
Here is a geometry-optimized TiVPd structure from Alexandria. Energies are from PBE-GGA.

The structure in CIF format:
```
data_TiVPd
_chemical_formula_sum 'Ti1 V1 Pd1'
_symmetry_space_group_name_H-M 'P 3 m 1'
_symmetry_Int_Tables_number 156
_cell_length_a 4.4236
_cell_length_b 4.4236
_cell_length_c 2.7390
_cell_angle_alpha 90.00
_cell_angle_beta 90.00
_cell_angle_gamma 120.00
loop_
_symmetry_equiv_pos_as_xyz
'x,y,z'
'-y,x-y,z'
'-x+y,-x,z'
'-y,-x,z'
'-x+y,y,z'
'x,x-y,z'
loop_
_atom_site_label
_atom_site_type_symbol
_atom_site_fract_x
_atom_site_fract_y
_atom_site_fract_z
Ti1 Ti 0.0000 0.0000 0.0000
V1 V 0.6667 0.3333 0.3187
Pd1 Pd 0.3333 0.6667 0.7064
```

Results
- Relative energy among the computed polymorphs: 0.2849 eV per atom
- Crystal system: trigonal

***

Number 1: DFT formation energy -0.2453 eV per atom. Number 2: DFT formation energy -0.2554 eV per atom. Number 3: DFT formation energy -0.1880 eV per atom. Number 4: DFT formation energy 1.1443 eV per atom. Number 5: DFT formation energy 0.6769 eV per atom. Number 6: DFT formation energy -0.2482 eV per atom. Number 7: DFT formation energy -0.1690 eV per atom. Number 8: DFT formation energy -0.3481 eV per atom. Number 9: DFT formation energy 1.2607 eV per atom. Number 10: DFT formation energy 0.2162 eV per atom. Number 11: DFT formation energy -0.4016 eV per atom. Number 12: DFT formation energy -0.0632 eV per atom.